Entry 1:
A relaxed NpGaPb2 crystal, computed with PBE.

```
NpGaPb2
1.0
4.6381 0.0000 0.0000
0.0000 4.6381 0.0000
0.0000 0.0000 4.7280
Np Ga Pb
1 1 2
Cartesian
0.0000 0.0000 0.0000 Np
2.3191 2.3191 0.0000 Ga
0.0000 2.3191 2.3640 Pb
2.3191 0.0000 2.3640 Pb
```

M_tot (μB/f.u.): 4.0
DFT formation energy (eV/atom): 0.06
DOS(E_F) (states/eV per cell): 11.59

***

Entry 2:
A relaxed NpGa2Pb crystal, computed with PBE.

```
NpGa2Pb
1.0
0.0000 3.6111 3.6111
3.6111 0.0000 3.6111
3.6111 3.6111 0.0000
Np Ga Pb
1 2 1
Cartesian
0.0000 0.0000 0.0000 Np
1.8055 1.8055 1.8055 Ga
5.4166 5.4166 5.4166 Ga
3.6111 3.6111 3.6111 Pb
```

M_tot (μB/f.u.): 4.6
Offset from the most stable computed form (kJ/mol of atoms): 19.5
DFT formation energy (eV/atom): 0.16
DOS(E_F) (states/eV per cell): 8.86